Compound: MnBeSb2
Source: Alexandria
Functional: PBEsol
Structure: optimized geometry

POSCAR file:
```
MnBeSb2
1.0
3.047 0.000 0.000
0.000 3.047 0.000
0.000 0.000 7.674
Sb Mn Be
2 1 1
Direct
0.000 0.000 0.904
0.500 0.500 0.336
0.500 0.500 0.685
0.000 0.000 0.575
```

## Properties
E_form (uncorrected)	19.28	kJ per mole of atoms
D(E_F)	0.587	states/eV per atom